Entry 1:
The following is a DFT calculation (SCAN) of a crystal of MnSbTe2Rh relaxed with PBEsol.

## Properties
* total moment: 4.74 μB per cell
* calculated total energy: -32.4080 eV per atom
* ΔE_f (raw): 1.75 eV per formula unit

a = 5.294 Å, b = 5.294 Å, c = 4.844 Å
α = 90.00°, β = 90.00°, γ = 90.00°
Sites, in units of the cell vectors:
Mn (0.000, 0.000, 0.000)
Sb (0.500, 0.500, 0.000)
Te (0.000, 0.500, 0.500)
Te (0.500, 0.000, 0.500)
Rh (0.500, 0.500, 0.500)

Entry 2:
The following is a DFT calculation (SCAN) of a crystal of MnSb2RhW relaxed with PBEsol.

## Properties
* total moment: 0.62 μB per cell
* calculated total energy: -38.0236 eV per atom
* ΔE_f (raw): 6.12 eV per formula unit

a = 4.699 Å, b = 4.699 Å, c = 4.406 Å
α = 90.00°, β = 90.00°, γ = 90.00°
Sites, in units of the cell vectors:
Mn (0.000, 0.000, 0.000)
Sb (0.000, 0.500, 0.000)
Sb (0.500, 0.000, 0.000)
Rh (0.500, 0.500, 0.500)
W (0.000, 0.000, 0.500)

Entry 3:
The following is a DFT calculation (SCAN) of a crystal of ScMnRh2 relaxed with PBEsol.

## Properties
* ΔH_f (0 K): -0.860 eV/atom
* total moment: 4.48 μB per cell
* calculated total energy: -25.8693 eV per atom

a = 4.360 Å, b = 4.360 Å, c = 4.360 Å
α = 60.00°, β = 60.00°, γ = 60.00°
Sites, in units of the cell vectors:
Sc (0.000, 0.000, 0.000)
Mn (0.500, 0.500, 0.500)
Rh (0.250, 0.250, 0.250)
Rh (0.750, 0.750, 0.750)